# CsNp2F8, relaxed, DFT PBE-GGA
# Theoretical density ... 6.72 g cm⁻³
# Total DFT energy (no corrections) ... -7.22 eV per atom
# Formation energy (no corrections) ... -37.69 eV/f.u.
# Total magnetic moment ... 0.636 μB/atom
data_CsNp2F8
_cell_length_a 7.257
_cell_length_b 11.430
_cell_length_c 4.554
_cell_angle_alpha 90.00
_cell_angle_beta 96.81
_cell_angle_gamma 90.00
_space_group_name_H-M_alt 'C 1 2/m 1'
_space_group_IT_number 12
loop_
_space_group_symop_operation_xyz
'x,y,z'
'-x,-y,-z'
'-x,y,-z'
'x,-y,z'
'x+1/2,y+1/2,z'
'-x+1/2,-y+1/2,-z'
'-x+1/2,y+1/2,-z'
'x+1/2,-y+1/2,z'
loop_
_atom_site_label
_atom_site_fract_x
_atom_site_fract_y
_atom_site_fract_z
_atom_site_occupancy
Cs1 0.000 0.000 0.000 1
Np1 0.000 0.326 0.500 1
F1 0.000 0.283 0.000 1
F2 0.092 0.500 0.749 1
F3 0.188 0.152 0.558 1



# Cs3NpF7, relaxed, DFT PBE-GGA
# Theoretical density ... 4.60 g cm⁻³
# Total DFT energy (no corrections) ... -5.76 eV per atom
# Formation energy (no corrections) ... -34.76 eV/f.u.
# Total magnetic moment ... 0.273 μB/atom
data_Cs3NpF7
_cell_length_a 9.566
_cell_length_b 9.121
_cell_length_c 7.728
_cell_angle_alpha 90.00
_cell_angle_beta 124.65
_cell_angle_gamma 90.00
_space_group_name_H-M_alt 'C 1 m 1'
_space_group_IT_number 8
loop_
_space_group_symop_operation_xyz
'x,y,z'
'x,-y,z'
'x+1/2,y+1/2,z'
'x+1/2,-y+1/2,z'
loop_
_atom_site_label
_atom_site_fract_x
_atom_site_fract_y
_atom_site_fract_z
_atom_site_occupancy
Cs1 0.000 0.000 0.000 1
Cs2 0.000 0.261 0.487 1
Np1 0.041 0.500 0.017 1
F1 0.128 0.297 0.218 1
F2 0.133 0.500 0.806 1
F3 0.338 0.500 0.230 1
F4 0.371 0.000 0.128 1
F5 0.373 0.169 0.782 1



# CsNpF4, relaxed, DFT PBE-GGA
# Theoretical density ... 6.77 g cm⁻³
# Total DFT energy (no corrections) ... -6.76 eV per atom
# Formation energy (no corrections) ... -19.30 eV/f.u.
# Total magnetic moment ... 0.667 μB/atom
data_CsNpF4
_cell_length_a 6.675
_cell_length_b 3.865
_cell_length_c 16.959
_cell_angle_alpha 90.00
_cell_angle_beta 90.00
_cell_angle_gamma 90.00
_space_group_name_H-M_alt 'P n m a'
_space_group_IT_number 62
loop_
_space_group_symop_operation_xyz
'x,y,z'
'-x,-y,-z'
'-x+1/2,-y,z+1/2'
'x+1/2,y,-z+1/2'
'x+1/2,-y+1/2,-z+1/2'
'-x+1/2,y+1/2,z+1/2'
'-x,y+1/2,-z'
'x,-y+1/2,z'
loop_
_atom_site_label
_atom_site_fract_x
_atom_site_fract_y
_atom_site_fract_z
_atom_site_occupancy
Cs1 0.228 0.250 0.195 1
Np1 0.248 0.750 0.445 1
F1 0.012 0.750 0.949 1
F2 0.110 0.250 0.821 1
F3 0.115 0.250 0.378 1
F4 0.128 0.250 0.539 1



# CsNpF5, relaxed, DFT PBE-GGA
# Theoretical density ... 4.06 g cm⁻³
# Total DFT energy (no corrections) ... -6.66 eV per atom
# Formation energy (no corrections) ... -23.44 eV/f.u.
# Total magnetic moment ... 0.429 μB/atom
data_CsNpF5
_cell_length_a 10.831
_cell_length_b 8.259
_cell_length_c 9.134
_cell_angle_alpha 90.00
_cell_angle_beta 111.46
_cell_angle_gamma 90.00
_space_group_name_H-M_alt 'C 1 2/c 1'
_space_group_IT_number 15
loop_
_space_group_symop_operation_xyz
'x,y,z'
'-x,-y,-z'
'-x,y,-z+1/2'
'x,-y,z+1/2'
'x+1/2,y+1/2,z'
'-x+1/2,-y+1/2,-z'
'-x+1/2,y+1/2,-z+1/2'
'x+1/2,-y+1/2,z+1/2'
loop_
_atom_site_label
_atom_site_fract_x
_atom_site_fract_y
_atom_site_fract_z
_atom_site_occupancy
Cs1 0.000 0.020 0.250 1
Np1 0.000 0.500 0.000 1
F1 0.000 0.468 0.250 1
F2 0.008 0.242 0.983 1
F3 0.209 0.489 0.593 1



# Cs3NpF8, relaxed, DFT PBE-GGA
# Theoretical density ... 4.86 g cm⁻³
# Total DFT energy (no corrections) ... -5.62 eV per atom
# Formation energy (no corrections) ... -36.99 eV/f.u.
# Total magnetic moment ... 0.167 μB/atom
data_Cs3NpF8
_cell_length_a 7.173
_cell_length_b 7.173
_cell_length_c 10.451
_cell_angle_alpha 90.00
_cell_angle_beta 90.00
_cell_angle_gamma 90.00
_space_group_name_H-M_alt 'I -4 2 m'
_space_group_IT_number 121
_space_group_name_Hall 'I -4 2'
loop_
_atom_site_label
_atom_site_fract_x
_atom_site_fract_y
_atom_site_fract_z
_atom_site_occupancy
Cs1 0.000 0.000 0.000 1
Cs2 0.000 0.500 0.250 1
Np1 0.000 0.000 0.500 1
F1 0.130 0.130 0.328 1
F2 0.207 0.207 0.560 1



# Cs2NpF5, relaxed, DFT PBE-GGA
# Theoretical density ... 4.40 g cm⁻³
# Total DFT energy (no corrections) ... -6.05 eV per atom
# Formation energy (no corrections) ... -24.40 eV/f.u.
# Total magnetic moment ... 0.499 μB/atom
data_Cs2NpF5
_cell_length_a 6.987
_cell_length_b 6.987
_cell_length_c 4.619
_cell_angle_alpha 90.00
_cell_angle_beta 90.00
_cell_angle_gamma 90.00
_space_group_name_H-M_alt 'P 4/m m m'
_space_group_IT_number 123
_space_group_name_Hall '-P 4 2'
loop_
_atom_site_label
_atom_site_fract_x
_atom_site_fract_y
_atom_site_fract_z
_atom_site_occupancy
Cs1 0.000 0.500 0.000 1
Np1 0.000 0.000 0.500 1
F1 0.000 0.000 0.000 1
F2 0.228 0.228 0.500 1



# CsNpF6, relaxed, DFT PBE-GGA
# Theoretical density ... 4.59 g cm⁻³
# Total DFT energy (no corrections) ... -6.40 eV per atom
# Formation energy (no corrections) ... -26.15 eV/f.u.
# Total magnetic moment ... 0.250 μB/atom
# Energy relative to the lowest polymorph listed for this composition ... 14 meV/atom
data_CsNpF6
_cell_length_a 11.603
_cell_length_b 5.414
_cell_length_c 11.306
_cell_angle_alpha 90.00
_cell_angle_beta 99.78
_cell_angle_gamma 90.00
_space_group_name_H-M_alt 'C 1 2/c 1'
_space_group_IT_number 15
loop_
_space_group_symop_operation_xyz
'x,y,z'
'-x,-y,-z'
'-x,y,-z+1/2'
'x,-y,z+1/2'
'x+1/2,y+1/2,z'
'-x+1/2,-y+1/2,-z'
'-x+1/2,y+1/2,-z+1/2'
'x+1/2,-y+1/2,z+1/2'
loop_
_atom_site_label
_atom_site_fract_x
_atom_site_fract_y
_atom_site_fract_z
_atom_site_occupancy
Cs1 0.000 0.137 0.250 1
Np1 0.250 0.250 0.000 1
F1 0.104 0.406 0.893 1
F2 0.143 0.043 0.529 1
F3 0.212 0.418 0.153 1



# Cs5Np2F12, relaxed, DFT PBE-GGA
# Theoretical density ... 3.90 g cm⁻³
# Total DFT energy (no corrections) ... -5.84 eV per atom
# Formation energy (no corrections) ... -58.40 eV/f.u.
# Total magnetic moment ... 0.368 μB/atom
# Energy relative to the lowest polymorph listed for this composition ... 39 meV/atom
data_Cs5Np2F12
_cell_length_a 13.544
_cell_length_b 9.477
_cell_length_c 9.099
_cell_angle_alpha 90.00
_cell_angle_beta 94.00
_cell_angle_gamma 90.00
_space_group_name_H-M_alt 'C 1 2/m 1'
_space_group_IT_number 12
loop_
_space_group_symop_operation_xyz
'x,y,z'
'-x,-y,-z'
'-x,y,-z'
'x,-y,z'
'x+1/2,y+1/2,z'
'-x+1/2,-y+1/2,-z'
'-x+1/2,y+1/2,-z'
'x+1/2,-y+1/2,z'
loop_
_atom_site_label
_atom_site_fract_x
_atom_site_fract_y
_atom_site_fract_z
_atom_site_occupancy
Cs1 0.000 0.000 0.000 1
Cs2 0.143 0.500 0.822 1
Cs3 0.205 0.500 0.301 1
Np1 0.000 0.204 0.500 1
F1 0.026 0.238 0.267 1
F2 0.098 0.000 0.537 1
F3 0.130 0.334 0.550 1
F4 0.209 0.000 0.965 1